Compound: Hf2NiRu
Source: the Alexandria database
Functional: PBE-GGA
Structure: optimized geometry

Values from the calculation:
Calculated formation energy (meV per atom): -42
Density of states at the Fermi level (states/eV per atom): 0.479

Cell lengths 5.7335, 5.7335, 5.7335 Å; angles 104.75, 104.75, 119.39 degrees
Sites, in units of the cell vectors:
Hf (0.1208, 0.6250, 0.9958)
Hf (0.3750, 0.3708, 0.4958)
Hf (0.6292, 0.1250, 0.0042)
Hf (0.8750, 0.8792, 0.5042)
Ni (0.0000, 0.0000, 0.0000)
Ni (0.7500, 0.2500, 0.5000)
Ru (0.2500, 0.7500, 0.5000)
Ru (0.5000, 0.5000, 0.0000)

Compound: Sb16Cl4O21
Source: the Alexandria database
Functional: PBE-GGA
Structure: optimized geometry

Values from the calculation:
Uncorrected formation energy (meV/atom): -1229.2
Density of states at the Fermi level (states/eV per atom): 0.000

Cell lengths 8.4001, 9.9253, 10.6941 Å; angles 69.70, 85.36, 78.54 degrees
Sites, in units of the cell vectors:
Sb (0.0000, 0.0000, 0.0000)
Sb (0.0023, 0.6806, 0.6195)
Sb (0.0688, 0.6190, 0.0449)
Sb (0.0751, 0.2940, 0.6802)
Sb (0.2456, 0.1774, 0.1775)
Sb (0.3135, 0.7972, 0.3838)
Sb (0.3188, 0.4755, 0.3081)
Sb (0.4019, 0.1016, 0.4976)
Sb (0.4432, 0.0076, 0.9765)
Sb (0.5156, 0.6826, 0.6201)
Sb (0.5661, 0.6286, 0.0470)
Sb (0.6253, 0.2969, 0.6961)
Sb (0.6705, 0.1968, 0.1793)
Sb (0.7809, 0.8344, 0.3467)
Sb (0.8213, 0.4829, 0.3077)
Sb (0.8283, 0.1135, 0.5067)
Cl (0.2798, 0.9093, 0.8249)
Cl (0.2859, 0.3668, 0.8481)
Cl (0.7775, 0.9299, 0.8346)
Cl (0.7862, 0.3815, 0.8583)
O (0.0289, 0.7913, 0.1089)
O (0.0357, 0.5011, 0.5670)
O (0.0824, 0.4765, 0.2384)
O (0.2186, 0.0271, 0.0791)
O (0.2200, 0.2481, 0.5338)
O (0.2403, 0.7100, 0.5762)
O (0.2552, 0.0194, 0.3597)
O (0.3235, 0.5719, 0.1075)
O (0.3960, 0.2591, 0.3069)
O (0.4827, 0.1037, 0.1312)
O (0.5139, 0.8078, 0.1012)
O (0.5655, 0.4972, 0.5706)
O (0.5772, 0.5000, 0.2434)
O (0.5919, 0.1986, 0.5406)
O (0.6798, 0.0387, 0.3659)
O (0.7416, 0.7380, 0.5468)
O (0.8227, 0.5795, 0.1071)
O (0.8489, 0.2662, 0.3256)
O (0.8515, 0.0389, 0.1502)
O (0.8549, 0.2640, 0.6029)
O (0.9959, 0.8166, 0.4225)

Compound: Tl2SnP2O6
Source: the Alexandria database
Functional: PBE-GGA
Structure: optimized geometry

Values from the calculation:
Uncorrected formation energy (meV/atom): -1611.0
Density of states at the Fermi level (states/eV per atom): 0.000

Cell lengths 7.0416, 7.0416, 7.0416 Å; angles 50.51, 50.51, 50.51 degrees
Sites, in units of the cell vectors:
Tl (0.2197, 0.2197, 0.2197)
Tl (0.7803, 0.7803, 0.7803)
Sn (0.0000, 0.0000, 0.0000)
P (0.4398, 0.4398, 0.4398)
P (0.5602, 0.5602, 0.5602)
O (0.2734, 0.2734, 0.7040)
O (0.2734, 0.7040, 0.2734)
O (0.2960, 0.7266, 0.7266)
O (0.7040, 0.2734, 0.2734)
O (0.7266, 0.2960, 0.7266)
O (0.7266, 0.7266, 0.2960)

Table of VASP energy (eV per atom), in record order: -8.783, -5.558, -6.093